[1]
{"formula": "LiLaTa2", "functional": "PBE", "state": "optimized geometry", "spacegroup": "Cmmm", "total_magnetization_mub_per_cell": 0.00, "e_form_ev_per_atom": 0.6603, "lattice_angstrom": [[-1.3060, -5.5406, -1.7663], [4.6221, 3.0209, -2.2439], [1.6587, -1.0356, 2.0223]], "species": ["Ta", "Li", "Ta", "La"], "fractional_positions": [[0.5000, 0.5000, 0.0000], [0.0000, 0.5000, 0.5000], [0.0000, 0.0000, 0.0000], [0.5000, 0.0000, 0.5000]]}


[2]
{"formula": "BeAgAu2", "functional": "PBE", "state": "optimized geometry", "spacegroup": "Immm", "total_magnetization_mub_per_cell": 0.00, "e_form_ev_per_atom": -0.0506, "lattice_angstrom": [[5.2700, 0.0249, 0.0108], [2.3324, 4.7258, -0.0108], [-3.2340, -3.2831, 2.5566]], "species": ["Au", "Ag", "Au", "Be"], "fractional_positions": [[0.9494, 0.9494, 0.0000], [0.2500, 0.7500, 0.5000], [0.5506, 0.5506, 0.0000], [0.7500, 0.2500, 0.5000]]}


[3]
{"formula": "TbNd12Al3", "functional": "PBE", "state": "optimized geometry", "spacegroup": "P4/mmm", "total_magnetization_mub_per_cell": 0.00, "e_form_ev_per_atom": -0.1115, "lattice_angstrom": [[-2.1373, -2.2623, 3.8346], [3.7445, -3.2145, 0.1907], [9.8255, 12.1975, 12.6728]], "species": ["Al", "Al", "Nd", "Nd", "Nd", "Nd", "Nd", "Nd", "Nd", "Nd", "Nd", "Nd", "Nd", "Nd", "Tb", "Al"], "fractional_positions": [[0.0000, 0.0000, 0.2574], [0.0000, 0.0000, 0.7426], [0.5000, 0.5000, 0.7427], [0.0000, 0.5000, 0.3783], [0.0000, 0.5000, 0.1348], [0.5000, 0.5000, 0.2573], [0.0000, 0.5000, 0.6217], [0.5000, 0.0000, 0.3783], [0.5000, 0.0000, 0.8652], [0.5000, 0.0000, 0.1348], [0.0000, 0.5000, 0.8652], [0.5000, 0.5000, 0.0000], [0.5000, 0.5000, 0.5000], [0.5000, 0.0000, 0.6217], [0.0000, 0.0000, 0.0000], [0.0000, 0.0000, 0.5000]]}


[4]
{"formula": "HfFe2AsOs", "functional": "PBE", "state": "optimized geometry", "spacegroup": "P4/mmm", "total_magnetization_mub_per_cell": 5.64, "e_form_ev_per_atom": 0.9798, "lattice_angstrom": [[4.5769, 0.0000, 0.0000], [0.0000, 4.9979, 0.0000], [0.0000, 0.0000, 4.5769]], "species": ["Fe", "Os", "Hf", "Fe", "As"], "fractional_positions": [[0.5000, 0.0000, 0.0000], [0.0000, 0.0000, 0.0000], [0.0000, 0.5000, 0.0000], [0.0000, 0.0000, 0.5000], [0.5000, 0.5000, 0.5000]]}


[5]
{"formula": "Li2PmIn2", "functional": "PBE", "state": "optimized geometry", "spacegroup": "C2/m", "total_magnetization_mub_per_cell": 0.00, "e_form_ev_per_atom": -0.2674, "lattice_angstrom": [[-0.6856, 2.9114, -3.6837], [-3.6593, -2.3437, 1.8861], [1.6086, 5.3422, 3.9222]], "species": ["Pm", "Li", "In", "In", "Li"], "fractional_positions": [[0.5000, 0.0000, 0.0000], [0.3079, 0.6160, 0.4263], [0.9224, 0.8450, 0.2713], [0.0776, 0.1550, 0.7287], [0.6921, 0.3840, 0.5737]]}


[6]
{"formula": "Sc2BeSb", "functional": "PBE", "state": "optimized geometry", "spacegroup": "P4/mmm", "total_magnetization_mub_per_cell": 0.62, "formation_energy_uncorrected_ev_per_fu": -1.18, "lattice_angstrom": [[3.6427, -0.0071, 0.0000], [0.0069, 3.6428, 0.0000], [0.0000, 0.0000, 5.9351]], "species": ["Sb", "Sc", "Sc", "Be"], "fractional_positions": [[0.5000, 0.5000, 0.7500], [0.0000, 0.0000, 0.4899], [0.0000, 0.0000, 0.0101], [0.5000, 0.5000, 0.2500]]}


[7]
{"formula": "Er2NpTl2S6", "functional": "PBE", "state": "optimized geometry", "spacegroup": "C2/m", "total_magnetization_mub_per_cell": 3.00, "formation_energy_uncorrected_ev_per_fu": -15.72, "lattice_angstrom": [[-4.3106, 5.3803, -0.0063], [-1.4058, -5.5438, 3.8495], [5.7537, 3.1136, 4.4867]], "species": ["S", "S", "Er", "Er", "S", "S", "S", "Tl", "Np", "Tl", "S"], "fractional_positions": [[0.6050, 0.9368, 0.3073], [0.9368, 0.6050, 0.3073], [0.3333, 0.6667, 0.5000], [0.6667, 0.3333, 0.5000], [0.3950, 0.0632, 0.6927], [0.0632, 0.3950, 0.6927], [0.7376, 0.7376, 0.6931], [0.1685, 0.8315, 0.0000], [0.0000, 0.0000, 0.5000], [0.8315, 0.1685, 0.0000], [0.2624, 0.2624, 0.3069]]}


[8]
{"formula": "RbZr2Br", "functional": "PBE", "state": "optimized geometry", "spacegroup": "Fm-3m", "total_magnetization_mub_per_cell": 0.00, "formation_energy_uncorrected_ev_per_fu": 4.63, "lattice_angstrom": [[0.0000, 3.7541, 3.7541], [3.7541, 0.0000, 3.7541], [3.7541, 3.7541, 0.0000]], "species": ["Rb", "Br", "Zr", "Zr"], "fractional_positions": [[0.5000, 0.5000, 0.5000], [0.0000, 0.0000, 0.0000], [0.7500, 0.7500, 0.7500], [0.2500, 0.2500, 0.2500]]}